No. 1
This record from the Alexandria database describes a geometry-optimized Ho6Bi3H structure. The functional is PBE-GGA.

Computed properties:
**Total moment**: 0.000 μB per atom
**Crystal system**: orthorhombic
**Energy**: -4.778 eV per atom
**Symmetry**: No. 36
**V**: 25.93 Å³ per atom

Unit cell a=10.2933 b=10.2933 c=5.0205 alpha=90.00 beta=90.00 gamma=102.87
With the nearest neighbours (Å) after each atom.
Positions (direct):
1 Ho 0.0752 0.9248 0.5000  1 H 2.16
2 Ho 0.0817 0.5859 0.4994  1 H 2.26
3 Ho 0.2538 0.7462 0.9964  1 H 2.26
4 Ho 0.2557 0.4098 0.9992  6 Bi 3.30-3.50, 4 Ho 3.47-3.53
5 Ho 0.4098 0.2557 0.4992  6 Bi 3.30-3.50, 4 Ho 3.47-3.53
6 Ho 0.4141 0.9183 0.4994  1 H 2.26
7 Ho 0.5859 0.0817 0.9994  1 H 2.26
8 Ho 0.5902 0.7443 0.9992  6 Bi 3.30-3.50, 4 Ho 3.47-3.53
9 Ho 0.7443 0.5902 0.4992  6 Bi 3.30-3.50, 4 Ho 3.47-3.53
10 Ho 0.7462 0.2538 0.4964  1 H 2.26
11 Ho 0.9183 0.4141 0.9994  1 H 2.26
12 Ho 0.9248 0.0752 0.0000  1 H 2.16
13 Bi 0.0708 0.2613 0.5007  10 Ho 3.31-3.52, 1 H 3.53
14 Bi 0.2613 0.0708 0.0007  10 Ho 3.31-3.52, 1 H 3.53
15 Bi 0.4063 0.5937 0.4968  1 H 3.22, 10 Ho 3.30-3.51
16 Bi 0.5937 0.4063 0.9968  1 H 3.22, 10 Ho 3.30-3.51
17 Bi 0.7387 0.9292 0.5007  10 Ho 3.31-3.52, 1 H 3.53
18 Bi 0.9292 0.7387 0.0007  10 Ho 3.31-3.52, 1 H 3.53
19 H 0.2075 0.7925 0.5725  4 Ho 2.16-2.26
20 H 0.7925 0.2075 0.0725  4 Ho 2.16-2.26

---

No. 2
This record from the Alexandria database describes a geometry-optimized Pr2ZnCuPt6 structure. The functional is PBE-GGA.

Computed properties:
**Total moment**: 0.000 μB per atom
**Crystal system**: cubic
**ΔH_f (0 K)**: -0.246 eV per atom
**Energy**: -5.363 eV per atom
**Symmetry**: No. 225
**V**: 20.74 Å³ per atom

Unit cell a=6.6443 b=6.6443 c=6.6443 alpha=60.00 beta=60.00 gamma=60.00
With the nearest neighbours (Å) after each atom.
Positions (direct):
1 Pr 0.2500 0.2500 0.2500  12 Pt 3.32
2 Pr 0.7500 0.7500 0.7500  12 Pt 3.32
3 Zn 0.0000 0.0000 0.0000  6 Pt 2.35
4 Cu 0.5000 0.5000 0.5000  6 Pt 2.35
5 Pt 0.2504 0.2504 0.7496  1 Cu 2.35, 1 Zn 2.35
6 Pt 0.2504 0.7496 0.2504  1 Cu 2.35, 1 Zn 2.35
7 Pt 0.2504 0.7496 0.7496  1 Cu 2.35, 1 Zn 2.35
8 Pt 0.7496 0.2504 0.2504  1 Cu 2.35, 1 Zn 2.35
9 Pt 0.7496 0.2504 0.7496  1 Cu 2.35, 1 Zn 2.35
10 Pt 0.7496 0.7496 0.2504  1 Cu 2.35, 1 Zn 2.35

---

No. 3
This record from the Alexandria database describes a geometry-optimized CaYSi2 structure. The functional is PBE-GGA.

Computed properties:
**Total moment**: 0.001 μB per atom
**Crystal system**: tetragonal
**ΔE_f (raw)**: -0.18 eV/atom
**Energy**: -5.004 eV per atom
**Symmetry**: No. 99
**Offset from the most stable computed form**: 1.933 eV per formula unit
**V**: 23.68 Å³ per atom

Unit cell a=3.4306 b=3.4306 c=8.0491 alpha=90.00 beta=90.00 gamma=90.00
With the nearest neighbours (Å) after each atom.
Positions (direct):
1 Ca 0.0000 0.0000 0.0000  5 Si 3.00-3.20
2 Y 0.5000 0.5000 0.6142  5 Si 2.86-3.11
3 Si 0.0000 0.0000 0.3733  4 Si 2.59
4 Si 0.5000 0.5000 0.2590  4 Si 2.59, 1 Y 2.86

---

No. 4
This record from the Alexandria database describes a geometry-optimized PtRh5Se8 structure. The functional is PBE-GGA.

Computed properties:
**Total moment**: 0.000 μB per atom
**Crystal system**: cubic
**ΔE_f (raw)**: -0.37 eV/atom
**Energy**: -5.418 eV per atom
**Symmetry**: No. 216
**V**: 20.20 Å³ per atom

Unit cell a=7.3680 b=7.3680 c=7.3680 alpha=60.00 beta=60.00 gamma=60.00
With the nearest neighbours (Å) after each atom.
Positions (direct):
1 Pt 0.0000 0.0000 0.0000  4 Se 2.45
2 Rh 0.3754 0.3754 0.3754  6 Se 2.50-2.51
3 Rh 0.3754 0.3754 0.8737  6 Se 2.50-2.51
4 Rh 0.3754 0.8737 0.3754  6 Se 2.50-2.51
5 Rh 0.7500 0.7500 0.7500  4 Se 2.41
6 Rh 0.8737 0.3754 0.3754  6 Se 2.50-2.51
7 Se 0.1358 0.1358 0.1358  1 Pt 2.45, 3 Rh 2.50
8 Se 0.1358 0.1358 0.5926  1 Pt 2.45, 3 Rh 2.50
9 Se 0.1358 0.5926 0.1358  1 Pt 2.45, 3 Rh 2.50
10 Se 0.1507 0.6164 0.6164  4 Rh 2.41-2.51
11 Se 0.5926 0.1358 0.1358  1 Pt 2.45, 3 Rh 2.50
12 Se 0.6164 0.1507 0.6164  4 Rh 2.41-2.51
13 Se 0.6164 0.6164 0.1507  4 Rh 2.41-2.51
14 Se 0.6164 0.6164 0.6164  4 Rh 2.41-2.51

---

No. 5
This record from the Alexandria database describes a geometry-optimized AlSb structure. The functional is PBE-GGA.

Computed properties:
**Total moment**: 0.000 μB per atom
**Crystal system**: orthorhombic
**ΔE_f (raw)**: 0.06 eV/atom
**Energy**: -3.876 eV per atom
**Symmetry**: No. 70
**V**: 38.45 Å³ per atom

Unit cell a=8.2141 b=7.4231 c=7.3449 alpha=67.59 beta=56.66 gamma=55.75
With the nearest neighbours (Å) after each atom.
Positions (direct):
1 Al 0.0186 0.7314 0.0186  4 Sb 2.70-2.72
2 Al 0.2686 0.9814 0.2686  4 Sb 2.70-2.72
3 Al 0.7314 0.0186 0.7314  4 Sb 2.70-2.72
4 Al 0.9814 0.2686 0.9814  4 Sb 2.70-2.72
5 Sb 0.0597 0.0597 0.6903  4 Al 2.70-2.72
6 Sb 0.3097 0.3097 0.9403  4 Al 2.70-2.72
7 Sb 0.6903 0.6903 0.0597  4 Al 2.70-2.72
8 Sb 0.9403 0.9403 0.3097  4 Al 2.70-2.72

---

No. 6
This record from the Alexandria database describes a geometry-optimized La2ZrNi structure. The functional is PBE-GGA.

Computed properties:
**Total moment**: 0.000 μB per atom
**Crystal system**: orthorhombic
**ΔH_f (0 K)**: -0.036 eV per atom
**Energy**: -6.082 eV per atom
**Symmetry**: No. 44
**Offset from the most stable computed form**: 0.184 eV per formula unit
**V**: 26.24 Å³ per atom

Unit cell a=6.4260 b=6.4260 c=6.4260 alpha=148.03 beta=131.11 gamma=59.61
With the nearest neighbours (Å) after each atom.
Positions (direct):
1 La 0.0000 0.0000 0.0000  2 Ni 3.20, 4 Zr 3.37, 4 La 3.50-3.54
2 La 0.7046 0.2046 0.5000  4 Ni 3.22, 2 Zr 3.47, 4 La 3.50-3.54
3 Zr 0.4047 0.4047 0.0000  2 Ni 2.56
4 Ni 0.2386 0.7386 0.5000  2 Zr 2.56

---

No. 7
This record from the Alexandria database describes a geometry-optimized SrScPd3 structure. The functional is PBE-GGA.

Computed properties:
**Total moment**: 0.000 μB per atom
**Crystal system**: cubic
**ΔH_f (0 K)**: 0.693 eV per atom
**Energy**: -4.025 eV per atom
**Symmetry**: No. 221
**Offset from the most stable computed form**: 4.900 eV per formula unit
**V**: 26.66 Å³ per atom

Unit cell a=5.1083 b=5.1083 c=5.1083 alpha=90.00 beta=90.00 gamma=90.00
With the nearest neighbours (Å) after each atom.
Positions (direct):
1 Sr 0.0000 0.0000 0.0000  6 Pd 2.55
2 Sc 0.5000 0.5000 0.5000  12 Pd 3.61
3 Pd 0.0000 0.0000 0.5000  2 Sr 2.55
4 Pd 0.0000 0.5000 0.0000  2 Sr 2.55
5 Pd 0.5000 0.0000 0.0000  2 Sr 2.55

---

No. 8
This record from the Alexandria database describes a geometry-optimized Ag2SbN structure. The functional is PBE-GGA.

Computed properties:
**Total moment**: 0.000 μB per atom
**Crystal system**: cubic
**ΔE_f (raw)**: 1.12 eV/atom
**Energy**: -3.420 eV per atom
**Symmetry**: No. 225
**Offset from the most stable computed form**: 0.712 eV per formula unit
**V**: 17.47 Å³ per atom

Unit cell a=4.6230 b=4.6230 c=4.6230 alpha=60.00 beta=60.00 gamma=60.00
With the nearest neighbours (Å) after each atom.
Positions (direct):
1 Ag 0.2500 0.2500 0.2500  4 N 2.83, 4 Sb 2.83
2 Ag 0.7500 0.7500 0.7500  4 N 2.83, 4 Sb 2.83
3 Sb 0.0000 0.0000 0.0000  8 Ag 2.83
4 N 0.5000 0.5000 0.5000  8 Ag 2.83

---

No. 9
This record from the Alexandria database describes a geometry-optimized PPbBr structure. The functional is PBE-GGA.

Computed properties:
**Total moment**: 0.000 μB per atom
**Crystal system**: cubic
**ΔE_f (raw)**: 0.32 eV/atom
**Energy**: -3.274 eV per atom
**Symmetry**: No. 216
**Offset from the most stable computed form**: 1.488 eV per formula unit
**V**: 29.63 Å³ per atom

Unit cell a=5.0097 b=5.0097 c=5.0097 alpha=60.00 beta=60.00 gamma=60.00
With the nearest neighbours (Å) after each atom.
Positions (direct):
1 P 0.0000 0.0000 0.0000  4 Pb 3.07
2 Pb 0.7500 0.7500 0.7500  4 Br 3.07, 4 P 3.07
3 Br 0.5000 0.5000 0.5000  4 Pb 3.07

---

No. 10
This record from the Alexandria database describes a geometry-optimized ScCoAs2 structure. The functional is PBE-GGA.

Computed properties:
**Total moment**: 0.142 μB per atom
**Crystal system**: tetragonal
**ΔH_f (0 K)**: -0.335 eV per atom
**Energy**: -6.019 eV per atom
**Symmetry**: No. 99
**V**: 18.47 Å³ per atom

Unit cell a=3.0051 b=3.0051 c=8.1795 alpha=90.00 beta=90.00 gamma=90.00
With the nearest neighbours (Å) after each atom.
Positions (direct):
1 Sc 0.0000 0.0000 0.0000  4 Co 2.84, 5 As 2.87-3.05, 4 Sc 3.01
2 Co 0.5000 0.5000 0.7705  4 As 2.43
3 As 0.0000 0.0000 0.6274  4 Co 2.43
4 As 0.5000 0.5000 0.2357  4 Sc 2.87, 4 As 3.01

---

No. 11
This record from the Alexandria database describes a geometry-optimized CaTa2Pb structure. The functional is PBE-GGA.

Computed properties:
**Total moment**: 0.000 μB per atom
**Crystal system**: trigonal
**ΔH_f (0 K)**: 0.748 eV per atom
**Energy**: -6.606 eV per atom
**Symmetry**: No. 166
**V**: 22.72 Å³ per atom

Unit cell a=10.6930 b=10.6930 c=10.6930 alpha=16.97 beta=16.97 gamma=16.97
With the nearest neighbours (Å) after each atom.
Positions (direct):
1 Ca 0.0000 0.0000 0.0000  6 Ca 3.16, 6 Ta 3.33
2 Ta 0.2452 0.2452 0.2452  3 Pb 3.08, 6 Ta 3.16, 3 Ca 3.33
3 Ta 0.7548 0.7548 0.7548  3 Pb 3.08, 6 Ta 3.16, 3 Ca 3.33
4 Pb 0.5000 0.5000 0.5000  6 Ta 3.08, 6 Pb 3.16

---

No. 12
This record from the Alexandria database describes a geometry-optimized LaAlCl2 structure. The functional is PBE-GGA.

Computed properties:
**Total moment**: 0.000 μB per atom
**Crystal system**: tetragonal
**ΔE_f (raw)**: -1.01 eV/atom
**Energy**: -4.100 eV per atom
**Symmetry**: No. 122
**Offset from the most stable computed form**: 0.625 eV per formula unit
**V**: 27.70 Å³ per atom

Unit cell a=10.1611 b=10.1611 c=10.1611 alpha=152.61 beta=152.61 gamma=39.12
With the nearest neighbours (Å) after each atom.
Positions (direct):
1 La 0.0000 0.0000 0.0000  4 Cl 2.92
2 La 0.7500 0.2500 0.5000  4 Cl 2.92
3 Al 0.2500 0.7500 0.5000  4 Cl 2.95
4 Al 0.5000 0.5000 0.0000  4 Cl 2.95
5 Cl 0.1158 0.6250 0.9908  2 La 2.92, 2 Al 2.95
6 Cl 0.3750 0.3658 0.4908  2 La 2.92, 2 Al 2.95
7 Cl 0.6342 0.1250 0.0092  2 La 2.92, 2 Al 2.95
8 Cl 0.8750 0.8842 0.5092  2 La 2.92, 2 Al 2.95

---

Question: Among the records above, which one has the lowest energy?
Answer: CaTa2Pb

---

Copy entry 4 word for word.
This record from the Alexandria database describes a geometry-optimized PtRh5Se8 structure. The functional is PBE-GGA.

Computed properties:
**Total moment**: 0.000 μB per atom
**Crystal system**: cubic
**ΔE_f (raw)**: -0.37 eV/atom
**Energy**: -5.418 eV per atom
**Symmetry**: No. 216
**V**: 20.20 Å³ per atom

Unit cell a=7.3680 b=7.3680 c=7.3680 alpha=60.00 beta=60.00 gamma=60.00
With the nearest neighbours (Å) after each atom.
Positions (direct):
1 Pt 0.0000 0.0000 0.0000  4 Se 2.45
2 Rh 0.3754 0.3754 0.3754  6 Se 2.50-2.51
3 Rh 0.3754 0.3754 0.8737  6 Se 2.50-2.51
4 Rh 0.3754 0.8737 0.3754  6 Se 2.50-2.51
5 Rh 0.7500 0.7500 0.7500  4 Se 2.41
6 Rh 0.8737 0.3754 0.3754  6 Se 2.50-2.51
7 Se 0.1358 0.1358 0.1358  1 Pt 2.45, 3 Rh 2.50
8 Se 0.1358 0.1358 0.5926  1 Pt 2.45, 3 Rh 2.50
9 Se 0.1358 0.5926 0.1358  1 Pt 2.45, 3 Rh 2.50
10 Se 0.1507 0.6164 0.6164  4 Rh 2.41-2.51
11 Se 0.5926 0.1358 0.1358  1 Pt 2.45, 3 Rh 2.50
12 Se 0.6164 0.1507 0.6164  4 Rh 2.41-2.51
13 Se 0.6164 0.6164 0.1507  4 Rh 2.41-2.51
14 Se 0.6164 0.6164 0.6164  4 Rh 2.41-2.51

---

Question: Which formula does entry 8 have?
Answer: Ag2SbN